Record 1
Compound: Ac6BiAs3P2
Source: Alexandria
Functional: PBE
Structure: relaxed

Its theoretical density is 7.60 g/cm³. Its raw total energy is -5.809 eV per atom. The calculated formation energy comes out at -16.41 eV/f.u. The calculated volume is 33.831 Å³/atom.

```
12
Lattice="9.960 -2.282 0.000 9.960 2.282 0.000 -2.090 0.000 8.929" Properties=species:S:1:pos:R:3 pbc="T T T"
Ac -0.503 0.000 2.370
Ac 4.622 0.000 8.112
Ac 5.712 0.000 3.750
Ac 12.119 0.000 5.180
Ac 13.208 0.000 0.818
Ac 18.334 0.000 6.559
Bi 9.960 0.000 0.000
As 1.556 0.000 7.420
As 8.915 0.000 4.465
As 16.275 0.000 1.509
P 2.647 0.000 3.003
P 15.183 0.000 5.926
```

***

Record 2
Compound: Cu2P8Se3I2
Source: Alexandria
Functional: PBE
Structure: relaxed

Its theoretical density is 3.29 g/cm³. Its raw total energy is -4.469 eV per atom. The calculated volume is 29.102 Å³/atom. The formation energy (no corrections) is -134 meV/atom.

```
60
Lattice="9.570 0.000 0.000 0.000 13.141 0.000 0.000 0.000 13.884" Properties=species:S:1:pos:R:3 pbc="T T T"
Cu 0.014 1.718 3.471
Cu 0.014 4.853 10.413
Cu 1.826 7.684 10.413
Cu 1.826 12.028 3.471
Cu 7.744 1.113 10.413
Cu 7.744 5.457 3.471
Cu 9.556 8.289 3.471
Cu 9.556 11.423 10.413
P 0.698 9.166 1.516
P 0.698 9.166 5.426
P 0.698 10.546 8.458
P 0.698 10.546 12.368
P 1.691 7.620 0.274
P 1.691 7.620 6.668
P 1.691 12.091 7.216
P 1.691 12.091 13.610
P 2.174 8.820 8.511
P 2.174 8.820 12.316
P 2.174 10.892 1.568
P 2.174 10.892 5.374
P 4.150 9.801 8.044
P 4.150 9.801 12.782
P 4.150 9.911 1.102
P 4.150 9.911 5.840
P 5.420 3.230 8.044
P 5.420 3.230 12.782
P 5.420 3.340 1.102
P 5.420 3.340 5.840
P 7.396 2.249 8.511
P 7.396 2.249 12.316
P 7.396 4.321 1.568
P 7.396 4.321 5.374
P 7.879 1.050 0.274
P 7.879 1.050 6.668
P 7.879 5.521 7.216
P 7.879 5.521 13.610
P 8.872 2.596 1.516
P 8.872 2.596 5.426
P 8.872 3.975 8.458
P 8.872 3.975 12.368
Se 0.865 3.285 0.000
Se 0.865 3.285 6.942
Se 3.666 7.707 1.444
Se 3.666 7.707 5.498
Se 3.666 12.005 8.386
Se 3.666 12.005 12.440
Se 5.904 1.137 1.444
Se 5.904 1.137 5.498
Se 5.904 5.434 8.386
Se 5.904 5.434 12.440
Se 8.705 9.856 0.000
Se 8.705 9.856 6.942
I 0.851 0.830 10.413
I 0.851 5.741 3.471
I 2.649 1.384 3.471
I 2.649 5.187 10.413
I 6.921 7.955 3.471
I 6.921 11.757 10.413
I 8.719 7.400 10.413
I 8.719 12.312 3.471
```

***

What is the theoretical density in the first record?
7.60 g/cm³

***

Among the records above, which one has the highest raw total energy?
Cu2P8Se3I2